## Nd3Sm2In (PBE-GGA)

Data for a relaxed structure of Nd3Sm2In.

abc: 4.980 4.991 8.155
angles: 107.82 90.00 90.00
Element x y z (fractional)
1 Nd 0.500 0.165 0.330
2 Nd 0.500 0.500 0.000
3 Nd 0.500 0.835 0.670
4 Sm 0.000 0.662 0.324
5 Sm 0.000 0.338 0.676
6 In 0.000 0.000 0.000

Properties
Offset from the most stable computed form: 0.0 kJ per mole of atoms
Final energy: -4.567 eV/atom
Calculated formation energy: -0.1535 eV per atom

## Nd5Sm12In2 (PBE-GGA)

Data for a relaxed structure of Nd5Sm12In2.

abc: 9.400 9.133 8.618
angles: 92.80 90.00 120.97
Element x y z (fractional)
1 Nd 0.232 0.465 0.578
2 Nd 0.307 0.613 0.985
3 Nd 0.000 0.000 0.500
4 Nd 0.693 0.387 0.015
5 Nd 0.768 0.535 0.422
6 Sm 0.922 0.845 0.116
7 Sm 0.041 0.712 0.764
8 Sm 0.671 0.712 0.764
9 Sm 0.180 0.748 0.328
10 Sm 0.567 0.748 0.328
11 Sm 0.445 0.890 0.674
12 Sm 0.555 0.110 0.326
13 Sm 0.820 0.252 0.672
14 Sm 0.433 0.252 0.672
15 Sm 0.959 0.288 0.236
16 Sm 0.329 0.288 0.236
17 Sm 0.078 0.155 0.884
18 In 0.675 0.000 0.000
19 In 0.325 0.000 0.000

Properties
Final energy: -4.542 eV/atom
Calculated formation energy: -0.0190 eV per atom

## Nd4Sm5In4 (PBE-GGA)

Data for a relaxed structure of Nd4Sm5In4.

abc: 5.260 9.184 9.184
angles: 85.30 73.36 73.36
Element x y z (fractional)
1 Nd 0.902 0.480 0.715
2 Nd 0.618 0.285 0.480
3 Nd 0.098 0.520 0.285
4 Nd 0.382 0.715 0.520
5 Sm 0.687 0.908 0.718
6 Sm 0.313 0.092 0.282
7 Sm 0.000 0.000 0.000
8 Sm 0.595 0.718 0.092
9 Sm 0.405 0.282 0.908
10 In 0.769 0.344 0.117
11 In 0.231 0.656 0.883
12 In 0.886 0.883 0.344
13 In 0.114 0.117 0.656

Properties
Final energy: -4.436 eV/atom
Calculated formation energy: -0.3115 eV per atom

## Nd2SmIn9 (PBE-GGA)

Data for a relaxed structure of Nd2SmIn9.

abc: 4.706 4.706 14.122
angles: 90.00 90.00 90.00
Element x y z (fractional)
1 Nd 0.000 0.000 0.333
2 Nd 0.000 0.000 0.667
3 Sm 0.000 0.000 0.000
4 In 0.500 0.500 0.000
5 In 0.500 0.500 0.333
6 In 0.500 0.500 0.667
7 In 0.500 0.000 0.165
8 In 0.500 0.000 0.500
9 In 0.500 0.000 0.835
10 In 0.000 0.500 0.165
11 In 0.000 0.500 0.500
12 In 0.000 0.500 0.835

Properties
Final energy: -3.709 eV/atom
Calculated formation energy: -0.4674 eV per atom

Result set for DOS at the Fermi energy: 7.6; 25.6; 16.6; 5.5 states/eV/f.u., one per record in the order listed.